1.
Compound: ZrNpPb2O8
Source: Alexandria
Functional: GGA-PBE
Structure: relaxed

The structure in POSCAR format:
```
ZrNpPb2O8
1.0
-4.1393 3.1963 -0.7530
-1.4748 -3.0605 -4.0456
-3.7466 -3.8451 4.2746
O Np Pb Zr
8 1 2 1
direct
0.1702 0.8287 0.2446
0.7382 0.7397 0.0000
0.7131 0.7142 0.5000
0.8298 0.1713 0.2446
0.1702 0.8287 0.7554
0.8298 0.1713 0.7554
0.2869 0.2858 0.5000
0.2618 0.2603 0.0000
0.0000 0.0000 0.0000
0.5000 0.5000 0.7409
0.5000 0.5000 0.2591
0.0000 0.0000 0.5000
```

E_tot: -7.801 eV per atom
DOS(E_F): 6.12 states/eV/cell



2.
Compound: ThZnSi2Rh5
Source: Alexandria
Functional: GGA-PBE
Structure: relaxed

The structure in POSCAR format:
```
ThZnSi2Rh5
1.0
4.5136 0.0000 0.0000
0.0000 4.5136 0.0000
0.0000 0.0000 7.2501
Rh Si Th Zn
5 2 1 1
direct
0.5000 0.0000 0.7776
0.0000 0.5000 0.7776
0.5000 0.5000 0.5000
0.5000 0.0000 0.2224
0.0000 0.5000 0.2224
0.5000 0.5000 0.1635
0.5000 0.5000 0.8365
0.0000 0.0000 0.5000
0.0000 0.0000 0.0000
```

E_tot: -6.852 eV per atom
DOS(E_F): 4.18 states/eV/cell



3.
Compound: LiTl2Si
Source: Alexandria
Functional: GGA-PBE
Structure: relaxed

The structure in POSCAR format:
```
LiTl2Si
1.0
-3.1412 -0.4204 0.9472
0.5135 -3.0398 -1.1987
2.6222 -2.5414 7.5681
Li Tl Si
1 2 1
direct
0.5000 0.5000 0.2500
0.0000 0.0000 0.0009
0.0000 0.0000 0.4991
0.5000 0.5000 0.7500
```

DOS(E_F): 1.34 states/eV/cell
E above lowest polymorph: 51.9 meV per atom



4.
Compound: KPIr
Source: Alexandria
Functional: GGA-PBE
Structure: relaxed

The structure in POSCAR format:
```
KPIr
1.0
6.4581 0.0000 0.0000
0.0000 6.4581 0.0000
0.0000 0.0000 6.4581
P Ir K
4 4 4
direct
0.1002 0.6002 0.8998
0.6002 0.8998 0.1002
0.3998 0.3998 0.3998
0.8998 0.1002 0.6002
0.6469 0.1469 0.3531
0.1469 0.3531 0.6469
0.3531 0.6469 0.1469
0.8531 0.8531 0.8531
0.1248 0.1248 0.1248
0.3752 0.8752 0.6248
0.6248 0.3752 0.8752
0.8752 0.6248 0.3752
```

E_form: -332 meV/atom
DOS(E_F): 6.99 states/eV/cell